(1)
# TbBe17Mo, relaxed, DFT PBE
# total magnetic moment = 0.00 μB per cell
# crystal system = trigonal
# calculated formation energy = -0.119 eV per atom
# uncorrected energy = -243.18 eV per cell
data_TbBe17Mo
_chemical_formula_sum 'Tb3 Be51 Mo3'
_space_group_name_H-M_alt 'R 3 m'
_space_group_IT_number 160
_space_group_name_Hall 'R 3 -2"'
_cell_length_a 7.4956
_cell_length_b 7.4956
_cell_length_c 10.9309
_cell_angle_alpha 90.00
_cell_angle_beta 90.00
_cell_angle_gamma 120.00
loop_
_atom_site_label
_atom_site_fract_x
_atom_site_fract_y
_atom_site_fract_z
Tb1 0.0000 0.0000 0.0000
Be1 0.0000 0.0000 0.5594
Be2 0.0000 0.0000 0.7522
Be3 0.0023 0.5011 0.1596
Be4 0.0477 0.3760 0.3279
Be5 0.1689 0.3377 0.1533
Be6 0.1708 0.3416 0.8389
Mo1 0.0000 0.0000 0.3249

---

(2)
# Be2TcMo, relaxed, DFT PBE
# total magnetic moment = 0.00 μB per cell
# crystal system = orthorhombic
# calculated formation energy = -0.242 eV per atom
# uncorrected energy = -59.23 eV per cell
data_Be2TcMo
_chemical_formula_sum 'Be4 Tc2 Mo2'
_space_group_name_H-M_alt 'A m m 2'
_space_group_IT_number 38
_space_group_name_Hall 'A 2 -2'
_cell_length_a 3.2385
_cell_length_b 3.1388
_cell_length_c 8.8611
_cell_angle_alpha 90.00
_cell_angle_beta 90.00
_cell_angle_gamma 90.00
loop_
_atom_site_label
_atom_site_fract_x
_atom_site_fract_y
_atom_site_fract_z
Be1 0.0000 0.0000 0.0000
Be2 0.5000 0.0000 0.1352
Tc1 0.5000 0.0000 0.4167
Mo1 0.0000 0.0000 0.7228